No. 1
Computed, not measured: a relaxed structure of UV2Cl8 at the PBE level of DFT. Values from VASP.

The structure in Quantum ESPRESSO input format:
```
&SYSTEM
  ibrav = 0, nat = 11, ntyp = 3
/
ATOMIC_SPECIES
U 238.03 U.upf
V 50.94 V.upf
Cl 35.45 Cl.upf
CELL_PARAMETERS angstrom
6.239 -4.726 0.000
6.239 4.726 0.000
-0.035 0.000 6.267
ATOMIC_POSITIONS angstrom
U 0.000 0.000 0.000
V 2.573 0.000 2.248
V 9.869 0.000 4.018
Cl 4.908 2.901 4.765
Cl 2.061 0.000 4.565
Cl 7.534 2.901 1.502
Cl 4.656 0.000 1.539
Cl 7.786 0.000 4.728
Cl 4.908 -2.901 4.765
Cl 10.381 0.000 1.702
Cl 7.534 -2.901 1.502
```

Total magnetization (μB per atom): 0.727
Crystal system: monoclinic
Density (Mg/m³): 2.80
Density of states at the Fermi level (states/eV/f.u.): 10.22
Energy relative to the elements, uncorrected (meV/atom): -1224

---

No. 2
Computed, not measured: a relaxed structure of UVCl6 at the PBE level of DFT. Values from VASP.

The structure in Quantum ESPRESSO input format:
```
&SYSTEM
  ibrav = 0, nat = 8, ntyp = 3
/
ATOMIC_SPECIES
U 238.03 U.upf
V 50.94 V.upf
Cl 35.45 Cl.upf
CELL_PARAMETERS angstrom
3.155 -6.267 0.000
3.155 6.267 0.000
-1.937 0.000 6.001
ATOMIC_POSITIONS angstrom
U 0.000 0.000 0.000
V 2.186 0.000 3.001
Cl 1.176 1.757 1.607
Cl 0.199 0.000 4.444
Cl 1.176 -1.757 1.607
Cl 3.197 1.757 4.394
Cl 4.174 0.000 1.557
Cl 3.197 -1.757 4.394
```

Total magnetization (μB per atom): 0.625
Crystal system: monoclinic
Density (Mg/m³): 3.51
Density of states at the Fermi level (states/eV/f.u.): 2.85
Energy relative to the elements, uncorrected (meV/atom): -1500

---

No. 3
Computed, not measured: a relaxed structure of VCl4 at the PBE level of DFT. Values from VASP.

The structure in Quantum ESPRESSO input format:
```
&SYSTEM
  ibrav = 0, nat = 10, ntyp = 2
/
ATOMIC_SPECIES
V 50.94 V.upf
Cl 35.45 Cl.upf
CELL_PARAMETERS angstrom
6.237 -2.925 0.000
6.237 2.925 0.000
-5.381 0.000 10.169
ATOMIC_POSITIONS angstrom
V 2.201 1.608 7.627
V 4.891 -1.608 2.542
Cl -0.842 0.077 4.219
Cl -3.533 -0.077 9.304
Cl 0.521 0.370 8.125
Cl 3.212 -0.370 3.040
Cl 3.881 0.370 7.129
Cl 6.571 -0.370 2.044
Cl 10.625 0.077 0.865
Cl 7.935 -0.077 5.950
```

Total magnetization (μB per atom): 0.200
Crystal system: monoclinic
Density (Mg/m³): 1.73
Density of states at the Fermi level (states/eV/f.u.): 6.78
Energy relative to the elements, uncorrected (meV/atom): -1149

---

No. 4
Computed, not measured: a relaxed structure of VCl4 at the PBE level of DFT. Values from VASP.

The structure in Quantum ESPRESSO input format:
```
&SYSTEM
  ibrav = 0, nat = 20, ntyp = 2
/
ATOMIC_SPECIES
V 50.94 V.upf
Cl 35.45 Cl.upf
CELL_PARAMETERS angstrom
9.871 0.000 0.000
0.000 6.783 0.000
-3.374 0.000 11.915
ATOMIC_POSITIONS angstrom
V 0.904 1.056 5.067
V -0.783 5.728 11.025
V 7.280 1.056 0.891
V 5.593 5.728 6.848
Cl -1.052 1.935 5.023
Cl -2.739 4.848 10.981
Cl -0.889 0.929 10.223
Cl 0.798 5.854 4.265
Cl 2.257 2.235 3.891
Cl 0.570 4.548 9.849
Cl 1.598 0.982 7.096
Cl 3.285 5.801 1.139
Cl 3.213 0.982 10.776
Cl 4.900 5.801 4.819
Cl 5.928 2.235 2.067
Cl 4.241 4.548 8.024
Cl 5.699 0.929 7.650
Cl 7.386 5.854 1.693
Cl 9.237 1.935 0.935
Cl 7.550 4.848 6.892
```

Total magnetization (μB per atom): 0.200
Crystal system: monoclinic
Density (Mg/m³): 1.60
Density of states at the Fermi level (states/eV/f.u.): 6.44
Energy relative to the elements, uncorrected (meV/atom): -1147

---

No. 5
Computed, not measured: a relaxed structure of V4Cl at the PBE level of DFT. Values from VASP.

The structure in Quantum ESPRESSO input format:
```
&SYSTEM
  ibrav = 0, nat = 5, ntyp = 2
/
ATOMIC_SPECIES
V 50.94 V.upf
Cl 35.45 Cl.upf
CELL_PARAMETERS angstrom
4.240 0.000 0.000
0.000 4.240 0.000
0.000 0.000 4.240
ATOMIC_POSITIONS angstrom
V 0.000 0.000 0.000
V 0.000 2.120 2.120
V 2.120 0.000 2.120
V 2.120 2.120 0.000
Cl 2.120 2.120 2.120
```

Total magnetization (μB per atom): 0.092
Crystal system: cubic
Density (Mg/m³): 5.21
Density of states at the Fermi level (states/eV/f.u.): 5.32
Energy relative to the elements, uncorrected (meV/atom): 602

---

No. 6
Computed, not measured: a relaxed structure of VCl4 at the PBE level of DFT. Values from VASP.

The structure in Quantum ESPRESSO input format:
```
&SYSTEM
  ibrav = 0, nat = 5, ntyp = 2
/
ATOMIC_SPECIES
V 50.94 V.upf
Cl 35.45 Cl.upf
CELL_PARAMETERS angstrom
4.749 0.000 0.000
0.000 4.749 0.000
0.000 0.000 4.749
ATOMIC_POSITIONS angstrom
V 0.000 0.000 0.000
Cl 0.000 0.000 2.375
Cl 0.000 2.375 0.000
Cl 2.375 0.000 0.000
Cl 2.375 2.375 2.375
```

Total magnetization (μB per atom): 0.200
Crystal system: cubic
Density (Mg/m³): 2.99
Density of states at the Fermi level (states/eV/f.u.): 4.49
Energy relative to the elements, uncorrected (meV/atom): -573

---

No. 7
Computed, not measured: a relaxed structure of VCl4 at the PBE level of DFT. Values from VASP.

The structure in Quantum ESPRESSO input format:
```
&SYSTEM
  ibrav = 0, nat = 20, ntyp = 2
/
ATOMIC_SPECIES
V 50.94 V.upf
Cl 35.45 Cl.upf
CELL_PARAMETERS angstrom
10.376 0.000 0.000
0.000 6.900 0.000
-2.211 0.000 10.338
ATOMIC_POSITIONS angstrom
V 1.776 0.492 3.726
V 0.670 2.958 8.895
V 7.494 3.942 1.443
V 6.389 6.407 6.612
Cl 0.394 0.500 2.085
Cl -0.711 2.950 7.254
Cl 1.992 3.968 0.226
Cl 0.887 6.382 5.395
Cl 1.145 0.939 9.443
Cl 2.250 2.511 4.274
Cl 2.461 3.983 8.306
Cl 3.567 6.366 3.137
Cl 4.598 0.533 7.201
Cl 5.704 2.917 2.032
Cl 5.914 4.388 6.063
Cl 7.020 5.961 0.894
Cl 7.278 0.518 4.942
Cl 6.173 2.932 10.111
Cl 8.876 3.950 3.083
Cl 7.770 6.399 8.252
```

Total magnetization (μB per atom): 0.200
Crystal system: monoclinic
Density (Mg/m³): 1.73
Density of states at the Fermi level (states/eV/f.u.): 6.98
Energy relative to the elements, uncorrected (meV/atom): -1148

---

No. 8
Computed, not measured: a relaxed structure of VCl6 at the PBE level of DFT. Values from VASP.

The structure in Quantum ESPRESSO input format:
```
&SYSTEM
  ibrav = 0, nat = 28, ntyp = 2
/
ATOMIC_SPECIES
V 50.94 V.upf
Cl 35.45 Cl.upf
CELL_PARAMETERS angstrom
10.290 0.000 0.000
0.000 10.237 0.000
0.000 0.000 8.401
ATOMIC_POSITIONS angstrom
V 1.982 2.559 0.221
V 3.163 7.678 4.421
V 7.127 2.559 3.980
V 8.308 7.678 8.180
Cl 0.132 6.370 0.004
Cl 0.132 8.986 0.004
Cl 1.491 2.559 2.379
Cl 1.867 5.960 4.560
Cl 1.867 9.396 4.560
Cl 1.952 2.559 6.412
Cl 3.193 7.678 2.211
Cl 3.278 0.841 0.360
Cl 3.278 4.277 0.360
Cl 3.654 7.678 6.579
Cl 5.013 1.251 4.205
Cl 5.013 3.867 4.205
Cl 5.277 6.370 4.196
Cl 5.277 8.986 4.196
Cl 6.636 2.559 1.821
Cl 7.012 5.960 8.041
Cl 7.012 9.396 8.041
Cl 7.097 2.559 6.190
Cl 8.338 7.678 1.989
Cl 8.423 0.841 3.841
Cl 8.423 4.277 3.841
Cl 8.799 7.678 6.022
Cl 10.159 1.251 8.397
Cl 10.159 3.867 8.397
```

Total magnetization (μB per atom): 0.000
Crystal system: orthorhombic
Density (Mg/m³): 1.98
Energy relative to the elements, uncorrected (meV/atom): -799

---

No. 9
Computed, not measured: a relaxed structure of VCl4 at the PBE level of DFT. Values from VASP.

The structure in Quantum ESPRESSO input format:
```
&SYSTEM
  ibrav = 0, nat = 20, ntyp = 2
/
ATOMIC_SPECIES
V 50.94 V.upf
Cl 35.45 Cl.upf
CELL_PARAMETERS angstrom
12.946 0.000 0.000
0.000 5.842 0.000
-5.914 0.000 10.890
ATOMIC_POSITIONS angstrom
V 0.528 0.555 4.810
V -2.429 5.287 10.255
V 9.460 0.555 0.635
V 6.503 5.287 6.080
Cl -1.256 1.745 4.907
Cl -4.213 4.097 10.352
Cl -2.541 0.767 8.573
Cl 0.416 5.075 3.128
Cl 3.682 0.597 1.163
Cl 0.725 5.245 6.608
Cl 2.232 1.839 4.586
Cl -0.724 4.003 10.031
Cl 7.756 1.839 0.859
Cl 4.799 4.003 6.304
Cl 6.307 0.597 4.282
Cl 3.350 5.245 9.727
Cl 6.616 0.767 7.763
Cl 9.573 5.075 2.318
Cl 11.245 1.745 0.539
Cl 8.288 4.097 5.984
```

Total magnetization (μB per atom): 0.200
Crystal system: monoclinic
Density (Mg/m³): 1.55
Density of states at the Fermi level (states/eV/f.u.): 6.57
Energy relative to the elements, uncorrected (meV/atom): -1148

---

No. 10
Computed, not measured: a relaxed structure of VCl4 at the PBE level of DFT. Values from VASP.

The structure in Quantum ESPRESSO input format:
```
&SYSTEM
  ibrav = 0, nat = 10, ntyp = 2
/
ATOMIC_SPECIES
V 50.94 V.upf
Cl 35.45 Cl.upf
CELL_PARAMETERS angstrom
6.694 0.000 0.000
0.000 7.592 0.000
-1.838 0.000 5.752
ATOMIC_POSITIONS angstrom
V -0.459 1.096 1.438
V -1.378 6.496 4.314
Cl -0.511 0.782 5.695
Cl 0.408 6.809 2.818
Cl 0.711 2.489 2.623
Cl -0.208 5.103 5.499
Cl 5.065 2.489 0.253
Cl 4.146 5.103 3.129
Cl 4.449 0.782 2.934
Cl 5.368 6.809 0.058
```

Total magnetization (μB per atom): 0.200
Crystal system: monoclinic
Density (Mg/m³): 2.19
Density of states at the Fermi level (states/eV/f.u.): 12.50
Energy relative to the elements, uncorrected (meV/atom): -1093

---

No. 11
Computed, not measured: a relaxed structure of VCl4 at the PBE level of DFT. Values from VASP.

The structure in Quantum ESPRESSO input format:
```
&SYSTEM
  ibrav = 0, nat = 10, ntyp = 2
/
ATOMIC_SPECIES
V 50.94 V.upf
Cl 35.45 Cl.upf
CELL_PARAMETERS angstrom
3.626 -7.523 0.000
3.626 7.523 0.000
-2.823 0.000 5.327
ATOMIC_POSITIONS angstrom
V 1.509 6.425 3.995
V 2.921 -6.425 1.332
Cl 0.957 2.495 1.326
Cl -0.518 0.779 3.652
Cl 0.893 -0.779 0.989
Cl -0.454 -2.495 3.990
Cl 4.884 2.495 1.338
Cl 3.537 0.779 4.338
Cl 4.948 -0.779 1.675
Cl 3.473 -2.495 4.001
```

Total magnetization (μB per atom): 0.200
Crystal system: monoclinic
Density (Mg/m³): 2.20
Density of states at the Fermi level (states/eV/f.u.): 4.43
Energy relative to the elements, uncorrected (meV/atom): -1100

---

No. 12
Computed, not measured: a relaxed structure of VW2Cl at the PBE level of DFT. Values from VASP.

The structure in Quantum ESPRESSO input format:
```
&SYSTEM
  ibrav = 0, nat = 4, ntyp = 3
/
ATOMIC_SPECIES
V 50.94 V.upf
W 183.84 W.upf
Cl 35.45 Cl.upf
CELL_PARAMETERS angstrom
0.000 3.123 3.123
3.123 0.000 3.123
3.123 3.123 0.000
ATOMIC_POSITIONS angstrom
V 0.000 0.000 0.000
W 1.561 1.561 1.561
W 4.684 4.684 4.684
Cl 3.123 3.123 3.123
```

Total magnetization (μB per atom): 0.000
Crystal system: cubic
Density (Mg/m³): 12.38
Density of states at the Fermi level (states/eV/f.u.): 5.40
Energy relative to the elements, uncorrected (meV/atom): 1096

---

Q: energy relative to the elements, uncorrected of number 11 (VCl4)?
A: -1100 meV/atom